Below is MgTlCd3 after structural relaxation, with properties calculated at the PBE level.

Cell lengths 5.4138, 5.4138, 5.4138 Å; angles 90.00, 90.00, 90.00 degrees
Fractional coordinates of all 5 atoms:
Mg 0.0000 0.0000 0.0000
Cd 0.0000 0.5000 0.0000
Cd 0.0000 0.0000 0.5000
Cd 0.5000 0.0000 0.0000
Tl 0.5000 0.5000 0.5000

Calculated values
DFT formation energy, kJ/mol of formula units: 143
Volume, Å³/cell: 158.7
Raw total energy, eV/atom: -1.045